Entry w
# BaLi2Cl GGA-PBEsol optimized geometry
data_BaLi2Cl
_chemical_formula_sum 'Ba2 Li4 Cl2'
_cell_length_a 3.9305
_cell_length_b 4.7390
_cell_length_c 12.6672
_cell_angle_alpha 90.00
_cell_angle_beta 90.00
_cell_angle_gamma 90.00
_space_group_name_H-M_alt 'A m m 2'
_space_group_IT_number 38
loop_
_space_group_symop_operation_xyz
'x,y,z'
'-x,-y,z'
'-x,y,z'
'x,-y,z'
'x,y+1/2,z+1/2'
'-x,-y+1/2,z+1/2'
'-x,y+1/2,z+1/2'
'x,-y+1/2,z+1/2'
loop_
_atom_site_label
_atom_site_type_symbol
_atom_site_fract_x
_atom_site_fract_y
_atom_site_fract_z
Ba1 Ba 0.0000 0.0000 0.0000
Li1 Li 0.0000 0.0000 0.2706
Li2 Li 0.5000 0.0000 0.6974
Cl1 Cl 0.5000 0.0000 0.4988
# total moment	0.0	μB per formula unit
# ρ	2.63	g cm⁻³

---

Entry x
# BaLi2Cl GGA-PBEsol optimized geometry
data_BaLi2Cl
_chemical_formula_sum 'Ba2 Li4 Cl2'
_cell_length_a 4.3232
_cell_length_b 4.3232
_cell_length_c 13.9946
_cell_angle_alpha 90.00
_cell_angle_beta 90.00
_cell_angle_gamma 90.00
_space_group_name_H-M_alt 'I 4/m m m'
_space_group_IT_number 139
_space_group_name_Hall '-I 4 2'
loop_
_atom_site_label
_atom_site_type_symbol
_atom_site_fract_x
_atom_site_fract_y
_atom_site_fract_z
Ba1 Ba 0.0000 0.0000 0.0000
Li1 Li 0.0000 0.5000 0.2500
Cl1 Cl 0.0000 0.0000 0.5000
# total moment	0.0	μB per formula unit
# ρ	2.37	g cm⁻³

---

Verdict on stability: entry w comes out on top.

---

Entry w
# Ba2MnCl GGA-PBEsol optimized geometry
data_Ba2MnCl
_chemical_formula_sum 'Ba8 Mn4 Cl4'
_cell_length_a 7.9174
_cell_length_b 7.9174
_cell_length_c 7.9174
_cell_angle_alpha 90.00
_cell_angle_beta 90.00
_cell_angle_gamma 90.00
_space_group_name_H-M_alt 'F -4 3 m'
_space_group_IT_number 216
_space_group_name_Hall 'F -4 2 3'
loop_
_atom_site_label
_atom_site_type_symbol
_atom_site_fract_x
_atom_site_fract_y
_atom_site_fract_z
Ba1 Ba 0.0000 0.0000 0.0000
Ba2 Ba 0.2500 0.2500 0.2500
Mn1 Mn 0.0000 0.0000 0.5000
Cl1 Cl 0.2500 0.2500 0.7500
# total moment	2.8	μB per formula unit
# ρ	4.89	g cm⁻³

---

Entry x
# Ba2MnCl GGA-PBEsol optimized geometry
data_Ba2MnCl
_chemical_formula_sum 'Ba2 Mn1 Cl1'
_cell_length_a 4.3551
_cell_length_b 4.7820
_cell_length_c 6.5347
_cell_angle_alpha 90.00
_cell_angle_beta 90.00
_cell_angle_gamma 90.00
_space_group_name_H-M_alt 'P m m m'
_space_group_IT_number 47
loop_
_space_group_symop_operation_xyz
'x,y,z'
'-x,-y,-z'
'-x,-y,z'
'x,y,-z'
'x,-y,-z'
'-x,y,z'
'-x,y,-z'
'x,-y,z'
loop_
_atom_site_label
_atom_site_type_symbol
_atom_site_fract_x
_atom_site_fract_y
_atom_site_fract_z
Ba1 Ba 0.0000 0.0000 0.0000
Ba2 Ba 0.5000 0.5000 0.5000
Mn1 Mn 0.0000 0.0000 0.5000
Cl1 Cl 0.5000 0.5000 0.0000
# total moment	3.1	μB per formula unit
# ρ	4.45	g cm⁻³

---

Verdict on stability: entry x comes out on top.

---

Entry w
# BaOsCl2 GGA-PBEsol optimized geometry
data_BaOsCl2
_chemical_formula_sum 'Ba2 Os2 Cl4'
_cell_length_a 6.3238
_cell_length_b 7.5485
_cell_length_c 3.8512
_cell_angle_alpha 90.00
_cell_angle_beta 90.00
_cell_angle_gamma 90.00
_space_group_name_H-M_alt 'C m m m'
_space_group_IT_number 65
_space_group_name_Hall '-C 2 2'
loop_
_atom_site_label
_atom_site_type_symbol
_atom_site_fract_x
_atom_site_fract_y
_atom_site_fract_z
Ba1 Ba 0.0000 0.0000 0.0000
Os1 Os 0.0000 0.5000 0.0000
Cl1 Cl 0.0000 0.3135 0.5000
# total moment	0.0	μB per formula unit
# ρ	7.20	g cm⁻³

---

Entry x
# BaOsCl2 GGA-PBEsol optimized geometry
data_BaOsCl2
_chemical_formula_sum 'Ba3 Os3 Cl6'
_cell_length_a 3.3172
_cell_length_b 3.3172
_cell_length_c 27.6141
_cell_angle_alpha 90.00
_cell_angle_beta 90.00
_cell_angle_gamma 120.00
_space_group_name_H-M_alt 'R -3 m'
_space_group_IT_number 166
_space_group_name_Hall '-R 3 2"'
loop_
_atom_site_label
_atom_site_type_symbol
_atom_site_fract_x
_atom_site_fract_y
_atom_site_fract_z
Ba1 Ba 0.0000 0.0000 0.0000
Os1 Os 0.0000 0.0000 0.5000
Cl1 Cl 0.0000 0.0000 0.4175
# total moment	1.2	μB per formula unit
# ρ	7.54	g cm⁻³

---

Verdict on stability: entry w comes out on top.

---

Entry w
# BaOsCl2 GGA-PBEsol optimized geometry
data_BaOsCl2
_chemical_formula_sum 'Ba1 Os1 Cl2'
_cell_length_a 3.8403
_cell_length_b 4.8441
_cell_length_c 4.8646
_cell_angle_alpha 90.00
_cell_angle_beta 90.00
_cell_angle_gamma 90.00
_space_group_name_H-M_alt 'P m m m'
_space_group_IT_number 47
loop_
_space_group_symop_operation_xyz
'x,y,z'
'-x,-y,-z'
'-x,-y,z'
'x,y,-z'
'x,-y,-z'
'-x,y,z'
'-x,y,-z'
'x,-y,z'
loop_
_atom_site_label
_atom_site_type_symbol
_atom_site_fract_x
_atom_site_fract_y
_atom_site_fract_z
Ba1 Ba 0.0000 0.0000 0.0000
Os1 Os 0.0000 0.5000 0.5000
Cl1 Cl 0.5000 0.0000 0.5000
Cl2 Cl 0.5000 0.5000 0.0000
# total moment	2.8	μB per formula unit
# ρ	7.31	g cm⁻³

---

Entry x
# BaOsCl2 GGA-PBEsol optimized geometry
data_BaOsCl2
_chemical_formula_sum 'Ba1 Os1 Cl2'
_cell_length_a 3.8247
_cell_length_b 3.8247
_cell_length_c 7.0287
_cell_angle_alpha 90.00
_cell_angle_beta 90.00
_cell_angle_gamma 90.00
_space_group_name_H-M_alt 'P 4/m m m'
_space_group_IT_number 123
_space_group_name_Hall '-P 4 2'
loop_
_atom_site_label
_atom_site_type_symbol
_atom_site_fract_x
_atom_site_fract_y
_atom_site_fract_z
Ba1 Ba 0.0000 0.0000 0.0000
Os1 Os 0.0000 0.0000 0.5000
Cl1 Cl 0.5000 0.5000 0.2323
# total moment	4.0	μB per formula unit
# ρ	6.44	g cm⁻³

---

Verdict on stability: entry w comes out on top.

---

Entry w
# BaPb2Cl GGA-PBEsol optimized geometry
data_BaPb2Cl
_chemical_formula_sum 'Ba2 Pb4 Cl2'
_cell_length_a 4.3842
_cell_length_b 4.3842
_cell_length_c 13.5536
_cell_angle_alpha 90.00
_cell_angle_beta 90.00
_cell_angle_gamma 90.00
_space_group_name_H-M_alt 'I 4/m m m'
_space_group_IT_number 139
_space_group_name_Hall '-I 4 2'
loop_
_atom_site_label
_atom_site_type_symbol
_atom_site_fract_x
_atom_site_fract_y
_atom_site_fract_z
Ba1 Ba 0.0000 0.0000 0.0000
Pb1 Pb 0.0000 0.5000 0.2500
Cl1 Cl 0.0000 0.0000 0.5000
# total moment	0.0	μB per formula unit
# ρ	7.49	g cm⁻³

---

Entry x
# BaPb2Cl GGA-PBEsol optimized geometry
data_BaPb2Cl
_chemical_formula_sum 'Ba2 Pb4 Cl2'
_cell_length_a 5.9549
_cell_length_b 12.5402
_cell_length_c 3.6439
_cell_angle_alpha 90.00
_cell_angle_beta 90.00
_cell_angle_gamma 90.00
_space_group_name_H-M_alt 'C m m m'
_space_group_IT_number 65
_space_group_name_Hall '-C 2 2'
loop_
_atom_site_label
_atom_site_type_symbol
_atom_site_fract_x
_atom_site_fract_y
_atom_site_fract_z
Ba1 Ba 0.0000 0.0000 0.0000
Pb1 Pb 0.2500 0.2500 0.5000
Cl1 Cl 0.0000 0.5000 0.0000
# total moment	0.0	μB per formula unit
# ρ	7.17	g cm⁻³

---

Verdict on stability: entry w comes out on top.

---

Entry w
# BaPtCl2 GGA-PBEsol optimized geometry
data_BaPtCl2
_chemical_formula_sum 'Ba1 Pt1 Cl2'
_cell_length_a 4.7607
_cell_length_b 4.7607
_cell_length_c 3.9611
_cell_angle_alpha 90.00
_cell_angle_beta 90.00
_cell_angle_gamma 90.00
_space_group_name_H-M_alt 'P 4/m m m'
_space_group_IT_number 123
_space_group_name_Hall '-P 4 2'
loop_
_atom_site_label
_atom_site_type_symbol
_atom_site_fract_x
_atom_site_fract_y
_atom_site_fract_z
Ba1 Ba 0.0000 0.0000 0.0000
Pt1 Pt 0.5000 0.5000 0.0000
Cl1 Cl 0.0000 0.5000 0.5000
# total moment	0.0	μB per formula unit
# ρ	7.46	g cm⁻³

---

Entry x
# BaPtCl2 GGA-PBEsol optimized geometry
data_BaPtCl2
_chemical_formula_sum 'Ba3 Pt3 Cl6'
_cell_length_a 5.5920
_cell_length_b 5.5920
_cell_length_c 10.7798
_cell_angle_alpha 90.00
_cell_angle_beta 90.00
_cell_angle_gamma 120.00
_space_group_name_H-M_alt 'R -3 m'
_space_group_IT_number 166
_space_group_name_Hall '-R 3 2"'
loop_
_atom_site_label
_atom_site_type_symbol
_atom_site_fract_x
_atom_site_fract_y
_atom_site_fract_z
Ba1 Ba 0.0000 0.0000 0.0000
Pt1 Pt 0.0000 0.0000 0.5000
Cl1 Cl 0.0000 0.0000 0.2910
# total moment	0.0	μB per formula unit
# ρ	6.88	g cm⁻³

---

Verdict on stability: entry x comes out on top.

---

Entry w
# BaReCl GGA-PBEsol optimized geometry
data_BaReCl
_chemical_formula_sum 'Ba4 Re4 Cl4'
_cell_length_a 7.1613
_cell_length_b 7.1613
_cell_length_c 7.1613
_cell_angle_alpha 90.00
_cell_angle_beta 90.00
_cell_angle_gamma 90.00
_space_group_name_H-M_alt 'F -4 3 m'
_space_group_IT_number 216
_space_group_name_Hall 'F -4 2 3'
loop_
_atom_site_label
_atom_site_type_symbol
_atom_site_fract_x
_atom_site_fract_y
_atom_site_fract_z
Ba1 Ba 0.0000 0.0000 0.0000
Re1 Re 0.0000 0.0000 0.5000
Cl1 Cl 0.2500 0.2500 0.7500
# total moment	4.0	μB per formula unit
# ρ	6.49	g cm⁻³

---

Entry x
# BaReCl GGA-PBEsol optimized geometry
data_BaReCl
_chemical_formula_sum 'Ba4 Re4 Cl4'
_cell_length_a 7.5393
_cell_length_b 7.5393
_cell_length_c 7.5393
_cell_angle_alpha 90.00
_cell_angle_beta 90.00
_cell_angle_gamma 90.00
_space_group_name_H-M_alt 'F -4 3 m'
_space_group_IT_number 216
_space_group_name_Hall 'F -4 2 3'
loop_
_atom_site_label
_atom_site_type_symbol
_atom_site_fract_x
_atom_site_fract_y
_atom_site_fract_z
Ba1 Ba 0.0000 0.0000 0.0000
Re1 Re 0.2500 0.2500 0.7500
Cl1 Cl 0.2500 0.2500 0.2500
# total moment	4.0	μB per formula unit
# ρ	5.56	g cm⁻³

---

Verdict on stability: entry w comes out on top.